## MgCdC (PBE)

Data for a geometry-optimized MgCdC structure.

## Properties
DFT total energy = -17.729 eV/cell
crystal system = tetragonal
density of states at the Fermi level = 0.15 states/eV per cell
ΔE_f = 0.956 eV per atom

```
6
Lattice="3.935 0.000 0.000 0.000 3.935 0.000 0.000 0.000 6.014" Properties=species:S:1:pos:R:3 pbc="T T T"
Mg 0.984 0.984 0.716
Mg 2.951 2.951 5.298
Cd 0.984 2.951 3.007
Cd 2.951 0.984 3.007
C 0.984 0.984 4.578
C 2.951 2.951 1.436
```